Record 1
Material: Lu2ThPd
Method: DFT, PBE-GGA
State: relaxed

Output
As for the symmetry: P4/mmm, No. 123. As for the total magnetization: 0.000 μB/atom. As for the electronic total energy: -23.5 eV for the cell shown.

Lattice parameters (Å, degrees): 3.5044 3.5044 8.2931 90.00 90.00 90.00
Atoms (fractional coordinates):
Lu 0.0000 0.0000 0.1991
Th 0.5000 0.5000 0.5000
Pd 0.5000 0.5000 0.0000
Lu 0.0000 0.0000 0.8009

=====

Record 2
Material: MgTcRh6
Method: DFT, PBE-GGA
State: relaxed

Output
As for the symmetry: P4/mmm, No. 123. As for the total magnetization: 0.000 μB/atom. As for the electronic total energy: -57.5 eV for the cell shown.

Lattice parameters (Å, degrees): 3.8538 3.8538 7.7627 90.00 90.00 90.00
Atoms (fractional coordinates):
Rh 0.0000 0.5000 0.2583
Mg 0.0000 0.0000 0.0000
Rh 0.5000 0.5000 0.5000
Tc 0.0000 0.0000 0.5000
Rh 0.5000 0.0000 0.7417
Rh 0.5000 0.5000 0.0000
Rh 0.5000 0.0000 0.2583
Rh 0.0000 0.5000 0.7417

=====

Record 3
Material: LaMn2Au
Method: DFT, PBE-GGA
State: relaxed

Output
As for the symmetry: Cm, No. 8. As for the total magnetization: 0.101 μB/atom. As for the electronic total energy: -27.0 eV for the cell shown.

Lattice parameters (Å, degrees): 4.4264 4.4264 5.7380 67.26 67.26 60.01
Site moments in Bohr magnetons follow the coordinates.
Atoms (fractional coordinates):
Mn 0.2621 0.2621 0.2137  3.41
La 0.7495 0.7495 0.7517  0.02
Mn 0.9451 0.9451 0.1647  -3.14
Au 0.5434 0.5434 0.3698  0.03

=====

Record 4
Material: TlMoOs2S
Method: DFT, PBE-GGA
State: relaxed

Output
As for the symmetry: P4/mmm, No. 123. As for the total magnetization: 0.133 μB/atom. As for the electronic total energy: -23.7 eV for the cell shown.

Lattice parameters (Å, degrees): 4.9243 4.7453 4.9243 90.00 90.00 90.00
Site moments in Bohr magnetons follow the coordinates.
Atoms (fractional coordinates):
Os 0.5000 0.0000 0.0000  0.22
Os 0.0000 0.0000 0.5000  0.33
Tl 0.0000 0.0000 0.0000  -0.01
S 0.0000 0.5000 0.0000  0.02
Mo 0.5000 0.5000 0.5000  0.08

=====

Record 5
Material: PmThTlAu
Method: DFT, PBE-GGA
State: relaxed

Output
As for the symmetry: F-43m, No. 216. As for the total magnetization: 0.217 μB/atom. As for the electronic total energy: -19.3 eV for the cell shown.

Lattice parameters (Å, degrees): 5.3856 5.3856 5.3856 60.00 60.00 60.00
Site moments in Bohr magnetons follow the coordinates.
Atoms (fractional coordinates):
Au 0.0000 0.0000 0.0000  0.05
Pm 0.2500 0.2500 0.2500  0.20
Th 0.7500 0.7500 0.7500  0.22
Tl 0.5000 0.5000 0.5000  0.00

=====

Record 6
Material: BeCrTe2
Method: DFT, PBE-GGA
State: relaxed

Output
As for the symmetry: Amm2, No. 38. As for the total magnetization: 0.834 μB/atom. As for the electronic total energy: -19.3 eV for the cell shown.

Lattice parameters (Å, degrees): 3.7227 3.6876 6.3159 73.03 90.00 90.00
Site moments in Bohr magnetons follow the coordinates.
Atoms (fractional coordinates):
Cr 0.5000 0.5571 0.7613  3.31
Be 0.0000 0.7517 0.3705  -0.02
Te 0.0000 0.9612 0.9525  -0.16
Te 0.5000 0.2300 0.4157  -0.04

=====

Record 7
Material: La2Al2Ru
Method: DFT, PBE-GGA
State: relaxed

Output
As for the symmetry: P4/mbm, No. 127. As for the total magnetization: 0.000 μB/atom. As for the electronic total energy: -55.5 eV for the cell shown.

Lattice parameters (Å, degrees): 6.7793 6.7793 5.0364 90.00 90.00 90.00
Atoms (fractional coordinates):
Al 0.1450 0.3550 0.0000
La 0.8283 0.3283 0.5000
Al 0.6450 0.1450 0.0000
Al 0.8550 0.6450 0.0000
La 0.1717 0.6717 0.5000
La 0.6717 0.8283 0.5000
La 0.3283 0.1717 0.5000
Ru 0.0000 0.0000 0.0000
Al 0.3550 0.8550 0.0000
Ru 0.5000 0.5000 0.0000

=====

Record 8
Material: Li2Ga3Ag7
Method: DFT, PBE-GGA
State: relaxed

Output
As for the symmetry: C2/m, No. 12. As for the total magnetization: 0.000 μB/atom. As for the electronic total energy: -34.5 eV for the cell shown.

Lattice parameters (Å, degrees): 4.5114 4.5114 10.2871 102.42 77.58 88.62
Atoms (fractional coordinates):
Ga 0.1697 0.8302 0.6607
Ag 0.7492 0.7493 0.5000
Ag 0.0892 0.4100 0.8208
Ga 0.8303 0.1698 0.3393
Ag 0.5900 0.9110 0.8208
Ag 0.9108 0.5900 0.1792
Ag 0.2508 0.2507 0.5000
Li 0.6699 0.3303 0.6605
Li 0.3301 0.6697 0.3395
Ag 0.4100 0.0890 0.1792
Ag 0.0000 0.0000 0.0000
Ga 0.5000 0.5000 0.0000

=====

Record 9
Material: NaBeNi
Method: DFT, PBE-GGA
State: relaxed

Output
As for the symmetry: Pm, No. 6. As for the total magnetization: 0.000 μB/atom. As for the electronic total energy: -21.1 eV for the cell shown.

Lattice parameters (Å, degrees): 3.6342 4.8193 5.7102 115.24 90.02 90.00
Atoms (fractional coordinates):
Be 0.5562 0.3784 0.5997
Na 0.5558 0.8612 0.1035
Na 0.0556 0.3632 0.1040
Ni 0.0563 0.1069 0.5576
Ni 0.0564 0.6532 0.6497
Be 0.5562 0.8822 0.6073

=====

Record 10
Material: Ac3In
Method: DFT, PBE-GGA
State: relaxed

Output
As for the symmetry: Imm2, No. 44. As for the total magnetization: 0.000 μB/atom. As for the electronic total energy: -15.8 eV for the cell shown.

Lattice parameters (Å, degrees): 4.2238 6.0112 7.3290 114.21 106.75 90.00
Atoms (fractional coordinates):
Ac 0.5000 0.4179 0.0000
Ac 0.7165 0.1308 0.4330
In 0.0000 0.9202 0.0000
Ac 0.2835 0.6978 0.5670

=====

Record 11
Material: ErLuBi2
Method: DFT, PBE-GGA
State: relaxed

Output
As for the symmetry: R-3m, No. 166. As for the total magnetization: 0.000 μB/atom. As for the electronic total energy: -19.9 eV for the cell shown.

Lattice parameters (Å, degrees): 4.4257 4.4257 7.6630 73.22 73.22 60.00
Atoms (fractional coordinates):
Bi 0.7490 0.7490 0.7529
Er 0.5000 0.5000 0.5000
Lu 0.0000 0.0000 0.0000
Bi 0.2510 0.2510 0.2471

=====

Record 12
Material: GdZrAgRu
Method: DFT, PBE-GGA
State: relaxed

Output
As for the symmetry: F-43m, No. 216. As for the total magnetization: 1.784 μB/atom. As for the electronic total energy: -35.6 eV for the cell shown.

Lattice parameters (Å, degrees): 4.8762 4.8762 4.8762 60.00 60.00 60.00
Site moments in Bohr magnetons follow the coordinates.
Atoms (fractional coordinates):
Ag 0.2500 0.2500 0.2500  0.00
Ru 0.7500 0.7500 0.7500  -0.17
Zr 0.0000 0.0000 0.0000  0.09
Gd 0.5000 0.5000 0.5000  7.04

=====

Record 13
Material: LaBiIO2
Method: DFT, PBE-GGA
State: relaxed

Output
As for the symmetry: P4/mmm, No. 123. As for the total magnetization: 0.012 μB/atom. As for the electronic total energy: -23.9 eV for the cell shown.

Lattice parameters (Å, degrees): 4.5432 4.5432 6.0372 90.00 90.00 90.00
Site moments in Bohr magnetons follow the coordinates.
Atoms (fractional coordinates):
I 0.0000 0.0000 0.5000  0.00
O 0.5000 0.0000 0.0000  0.00
La 0.5000 0.5000 0.5000  -0.05
O 0.0000 0.5000 0.0000  0.00
Bi 0.0000 0.0000 0.0000  0.00